# 1
Computed, not measured: CeEuAg4 after structural relaxation at the PBE level of DFT.

ΔE_f = -0.12 eV/atom
calculated volume = 23.095 Å³ per atom

Unit cell a=5.8085 b=5.8085 c=5.8085 alpha=60.00 beta=60.00 gamma=60.00
Last column: nearest neighbours and their distance in Å.
Positions (direct):
Eu  0.0000  0.0000  0.0000  12 Ag 3.41, 4 Ce 3.56
Ag  0.6252  0.6252  0.1245  6 Ag 2.90-2.91
Ag  0.6252  0.1245  0.6252  6 Ag 2.90-2.91
Ag  0.6252  0.6252  0.6252  6 Ag 2.90-2.91
Ag  0.1245  0.6252  0.6252  6 Ag 2.90-2.91
Ce  0.2500  0.2500  0.2500  12 Ag 3.41, 4 Eu 3.56

# 2
Computed, not measured: Cd2HgBr after structural relaxation at the PBE level of DFT.

raw formation energy = -0.158 eV per atom
calculated volume = 27.660 Å³ per atom
polymorph energy (0 for the lowest one) = 48.1 meV per atom

Unit cell a=3.6535 b=3.6535 c=8.6070 alpha=90.00 beta=90.00 gamma=105.62
Last column: nearest neighbours and their distance in Å.
Positions (direct):
Hg  0.0000  0.0000  0.4754  2 Cd 3.04
Br  0.5000  0.5000  0.7903  2 Cd 2.86
Cd  0.0000  0.0000  0.0016  2 Br 2.86, 2 Cd 2.97
Cd  0.5000  0.5000  0.2328  2 Cd 2.97, 2 Hg 3.04

# 3
Computed, not measured: Mo2OsRh after structural relaxation at the PBE level of DFT.

ΔE_f = 0.31 eV/atom
calculated volume = 15.329 Å³ per atom
polymorph energy (0 for the lowest one) = 389.3 meV per atom

Unit cell a=4.4262 b=4.4262 c=4.4262 alpha=60.00 beta=60.00 gamma=60.00
Last column: nearest neighbours and their distance in Å.
Positions (direct):
Rh  0.0000  0.0000  0.0000  8 Mo 2.71
Mo  0.2500  0.2500  0.2500  4 Os 2.71, 4 Rh 2.71
Mo  0.7500  0.7500  0.7500  4 Os 2.71, 4 Rh 2.71
Os  0.5000  0.5000  0.5000  8 Mo 2.71

# 4
Computed, not measured: KPbI2O8 after structural relaxation at the PBE level of DFT.

raw formation energy = -0.532 eV per atom
calculated volume = 17.275 Å³ per atom

Unit cell a=5.9842 b=6.4862 c=7.5421 alpha=54.17 beta=66.63 gamma=62.53
Last column: nearest neighbours and their distance in Å.
Positions (direct):
K  0.5000  0.5000  0.5000  2 O 2.64
Pb  0.0000  0.0000  0.0000  6 O 2.19-2.32
I  0.2756  0.2471  0.2018  3 O 1.79-1.90
I  0.7244  0.7529  0.7982  3 O 1.79-1.90
O  0.9054  0.4281  0.7612  1 I 2.01, 1 Pb 2.19
O  0.6709  0.5627  0.0955  1 I 1.79
O  0.0946  0.5719  0.2388  1 I 2.01, 1 Pb 2.19
O  0.3291  0.4373  0.9045  1 I 1.79
O  0.6136  0.0120  0.2456  1 I 1.90
O  0.3864  0.9880  0.7544  1 I 1.90
O  0.1288  0.0120  0.2456  1 I 1.90
O  0.8712  0.9880  0.7544  1 I 1.90

# 5
Computed, not measured: TaBeVBi2 after structural relaxation at the PBE level of DFT.

ΔE_f = 1.47 eV/atom
calculated volume = 26.579 Å³ per atom

Unit cell a=5.4211 b=4.5220 c=5.4211 alpha=90.00 beta=90.00 gamma=90.00
Last column: nearest neighbours and their distance in Å.
Positions (direct):
Be  0.0000  0.5000  0.0000  2 Ta 2.26
V  0.5000  0.5000  0.5000  8 Bi 3.53, 4 Be 3.83
Bi  0.0000  0.0000  0.5000  2 Ta 2.71
Bi  0.5000  0.0000  0.0000  2 Ta 2.71
Ta  0.0000  0.0000  0.0000  2 Be 2.26

# 6
Computed, not measured: Sm3NiRh8 after structural relaxation at the PBE level of DFT.

ΔE_f = -0.44 eV/atom
calculated volume = 17.895 Å³ per atom

Unit cell a=5.3277 b=5.3277 c=9.2615 alpha=73.28 beta=73.28 gamma=60.00
Last column: nearest neighbours and their distance in Å.
Positions (direct):
Sm  0.6225  0.6225  0.1325  12 Rh 3.13-3.16, 4 Sm 3.40-3.43
Sm  0.0113  0.0113  0.9662  9 Rh 2.97-3.20
Sm  0.4915  0.4915  0.5255  12 Rh 2.97-3.20, 3 Ni 3.10
Ni  0.1440  0.1440  0.5681  3 Rh 2.64
Rh  0.5615  0.0607  0.8163  6 Rh 2.63-2.69
Rh  0.0588  0.5597  0.3227  1 Ni 2.64, 6 Rh 2.66-2.70
Rh  0.5615  0.5615  0.8163  6 Rh 2.63-2.69
Rh  0.0588  0.0588  0.3227  1 Ni 2.64, 6 Rh 2.66-2.70
Rh  0.8095  0.8095  0.5715  6 Rh 2.63-2.66
Rh  0.3103  0.3103  0.0691  6 Rh 2.69-2.70
Rh  0.0607  0.5615  0.8163  6 Rh 2.63-2.69
Rh  0.5597  0.0588  0.3227  1 Ni 2.64, 6 Rh 2.66-2.70

# 7
Computed, not measured: KW after structural relaxation at the PBE level of DFT.

ΔE_f = 1.56 eV/atom
calculated volume = 45.674 Å³ per atom
polymorph energy (0 for the lowest one) = 632.3 meV per atom

Unit cell a=15.2937 b=15.2937 c=3.1244 alpha=90.00 beta=90.00 gamma=90.00
Last column: nearest neighbours and their distance in Å.
Positions (direct):
K  0.4629  0.7836  0.0000  2 K 3.12, 1 W 3.46
K  0.5371  0.2164  0.0000  2 K 3.12, 1 W 3.46
K  0.2164  0.4629  0.0000  2 K 3.12, 1 W 3.46
K  0.7836  0.5371  0.0000  2 K 3.12, 1 W 3.46
K  0.9629  0.2836  0.5000  2 K 3.12, 1 W 3.46
K  0.0371  0.7164  0.5000  2 K 3.12, 1 W 3.46
K  0.7164  0.9629  0.5000  2 K 3.12, 1 W 3.46
K  0.2836  0.0371  0.5000  2 K 3.12, 1 W 3.46
W  0.3074  0.2554  0.0000  2 W 2.36
W  0.6926  0.7446  0.0000  2 W 2.36
W  0.7446  0.3074  0.0000  2 W 2.36
W  0.2554  0.6926  0.0000  2 W 2.36
W  0.8074  0.7554  0.5000  2 W 2.36
W  0.1926  0.2446  0.5000  2 W 2.36
W  0.2446  0.8074  0.5000  2 W 2.36
W  0.7554  0.1926  0.5000  2 W 2.36

# 8
Computed, not measured: Rb2BaAgF6 after structural relaxation at the PBE level of DFT.

raw formation energy = -2.550 eV per atom
calculated volume = 20.894 Å³ per atom
polymorph energy (0 for the lowest one) = 0.0 meV per atom

Unit cell a=6.6416 b=6.9090 c=9.1066 alpha=90.00 beta=89.92 gamma=90.00
Last column: nearest neighbours and their distance in Å.
Positions (direct):
Rb  0.0167  0.9515  0.2542  5 F 2.78-3.00
Rb  0.5167  0.5485  0.7542  5 F 2.78-3.00
Rb  0.9833  0.0485  0.7458  5 F 2.78-3.00
Rb  0.4833  0.4515  0.2458  5 F 2.78-3.00
Ba  0.5000  0.0000  0.0000  6 F 2.53-2.62
Ba  0.0000  0.5000  0.5000  6 F 2.53-2.62
Ag  0.5000  0.0000  0.5000  4 F 2.13-2.28
Ag  0.0000  0.5000  0.0000  4 F 2.13-2.28
F  0.2741  0.6932  0.0382  1 Ag 2.28
F  0.7741  0.8068  0.5382  1 Ag 2.28
F  0.7259  0.3068  0.9618  1 Ag 2.28
F  0.2259  0.1932  0.4618  1 Ag 2.28
F  0.2983  0.7114  0.4361  1 Ag 2.47, 1 Ba 2.53
F  0.7983  0.7886  0.9361  1 Ag 2.47, 1 Ba 2.53
F  0.7017  0.2886  0.5639  1 Ag 2.47, 1 Ba 2.53
F  0.2017  0.2114  0.0639  1 Ag 2.47, 1 Ba 2.53
F  0.9070  0.5384  0.2217  1 Ag 2.13
F  0.4070  0.9616  0.7217  1 Ag 2.13
F  0.0930  0.4616  0.7783  1 Ag 2.13
F  0.5930  0.0384  0.2783  1 Ag 2.13